Record 1
DFT (SCAN) results for As2IrCl at its PBEsol-relaxed geometry.

Values from the calculation:
**Formation energy from raw total energies**: 554 meV/atom

Lattice parameters (Å, degrees): 2.8820 4.7474 4.7474 90.00 90.00 90.00
Closest atoms and distances in Å follow each position.
Element x y z (fractional)
As 0.0000 0.0000 0.5000  4 Cl 2.78, 4 Ir 2.78, 2 As 2.88
As 0.0000 0.5000 0.0000  4 Cl 2.78, 4 Ir 2.78, 2 As 2.88
Ir 0.5000 0.0000 0.0000  8 As 2.78, 2 Ir 2.88
Cl 0.5000 0.5000 0.5000  8 As 2.78, 2 Cl 2.88



Record 2
DFT (SCAN) results for VZnSiO5 at its PBEsol-relaxed geometry.

Values from the calculation:
**Formation energy from raw total energies**: -2498 meV/atom

Lattice parameters (Å, degrees): 5.1476 5.4145 7.0746 106.41 107.16 101.26
Closest atoms and distances in Å follow each position.
Element x y z (fractional)
V 0.5000 0.0000 0.5000  6 O 1.83-2.02
V 0.5000 0.0000 0.0000  6 O 1.82-2.02
Zn 0.2237 0.3324 0.7257  4 O 1.92-2.09
Zn 0.7763 0.6676 0.2743  4 O 1.92-2.09
Si 0.8144 0.6471 0.7589  4 O 1.63-1.65
Si 0.1856 0.3529 0.2411  4 O 1.63-1.65
O 0.5768 0.6502 0.8728  1 Si 1.65
O 0.4232 0.3498 0.1272  1 Si 1.65
O 0.7386 0.7708 0.5710  1 Si 1.63
O 0.2614 0.2292 0.4290  1 Si 1.63
O 0.1643 0.6621 0.3339  1 Si 1.65
O 0.8357 0.3379 0.6661  1 Si 1.65
O 0.8670 0.1879 0.0630  1 Si 1.63, 1 V 1.82
O 0.1330 0.8121 0.9370  1 Si 1.63, 1 V 1.82
O 0.6002 0.9608 0.2673  2 V 1.83-1.89, 1 Zn 1.98
O 0.3998 0.0392 0.7327  2 V 1.83-1.89, 1 Zn 1.98



Record 3
DFT (SCAN) results for BaNiC3 at its PBEsol-relaxed geometry.

Values from the calculation:
**Formation energy from the elements**: 1.80 eV per atom

Lattice parameters (Å, degrees): 4.0225 4.0225 4.0225 90.00 90.00 90.00
Closest atoms and distances in Å follow each position.
Element x y z (fractional)
Ni 0.0000 0.0000 0.0000  6 C 2.01
C 0.0000 0.5000 0.0000  2 Ni 2.01
C 0.0000 0.0000 0.5000  2 Ni 2.01
C 0.5000 0.0000 0.0000  2 Ni 2.01
Ba 0.5000 0.5000 0.5000  12 C 2.84



Record 4
DFT (SCAN) results for CrAsIrRu2 at its PBEsol-relaxed geometry.

Values from the calculation:
**Formation energy from the elements**: 1.37 eV per atom

Lattice parameters (Å, degrees): 4.2788 4.2788 4.3679 90.00 90.00 90.00
Closest atoms and distances in Å follow each position.
Element x y z (fractional)
Ru 0.0000 0.5000 0.0000  2 Cr 2.14
Ru 0.5000 0.0000 0.0000  2 Cr 2.14
As 0.0000 0.0000 0.5000  2 Cr 2.18
Ir 0.5000 0.5000 0.5000  4 As 3.03, 8 Ru 3.06
Cr 0.0000 0.0000 0.0000  4 Ru 2.14, 2 As 2.18



Record 5
DFT (SCAN) results for CsCa3O at its PBEsol-relaxed geometry.

Values from the calculation:
**Formation energy from raw total energies**: 1486 meV/atom

Lattice parameters (Å, degrees): 5.8971 5.8971 5.8971 90.00 90.00 90.00
Closest atoms and distances in Å follow each position.
Element x y z (fractional)
Cs 0.0000 0.0000 0.0000  6 Ca 2.95
Ca 0.0000 0.5000 0.0000  2 Cs 2.95
Ca 0.0000 0.0000 0.5000  2 Cs 2.95
Ca 0.5000 0.0000 0.0000  2 Cs 2.95
O 0.5000 0.5000 0.5000  12 Ca 4.17



Record 6
DFT (SCAN) results for LaAg2Mo2 at its PBEsol-relaxed geometry.

Values from the calculation:
**Formation energy from the elements**: 0.42 eV per atom

Lattice parameters (Å, degrees): 3.7737 3.7737 7.4724 104.63 104.63 90.00
Closest atoms and distances in Å follow each position.
Element x y z (fractional)
Ag 0.6011 0.6011 0.2023  4 Mo 2.81, 1 Ag 2.82, 4 La 3.02
Ag 0.3989 0.3989 0.7977  4 Mo 2.81, 1 Ag 2.82, 4 La 3.02
La 0.0000 0.0000 0.0000  8 Ag 3.02
Mo 0.2500 0.7500 0.5000  4 Mo 2.67, 4 Ag 2.81
Mo 0.7500 0.2500 0.5000  4 Mo 2.67, 4 Ag 2.81



Record 7
DFT (SCAN) results for Co2PbW at its PBEsol-relaxed geometry.

Values from the calculation:
**Formation energy from the elements**: 0.71 eV per atom

Lattice parameters (Å, degrees): 2.8730 4.5067 4.5067 101.04 90.00 90.00
Closest atoms and distances in Å follow each position.
Element x y z (fractional)
Pb 0.5000 0.5000 0.5000  8 Co 2.67, 2 W 2.87, 2 Pb 2.87
Co 0.0000 0.0000 0.5000  4 W 2.67, 4 Pb 2.67, 4 Co 2.87
Co 0.0000 0.5000 0.0000  4 Pb 2.67, 4 W 2.67, 4 Co 2.87
W 0.5000 0.0000 0.0000  8 Co 2.67, 2 Pb 2.87, 2 W 2.87



Record 8
DFT (SCAN) results for Li2GeSeI at its PBEsol-relaxed geometry.

Values from the calculation:
**Formation energy from raw total energies**: -557 meV/atom

Lattice parameters (Å, degrees): 4.7916 4.7916 5.3875 90.00 90.00 90.00
Closest atoms and distances in Å follow each position.
Element x y z (fractional)
I 0.5000 0.5000 0.5000  4 Ge 3.39, 8 Li 3.61
Ge 0.0000 0.0000 0.5000  2 Se 2.69
Se 0.0000 0.0000 0.0000  4 Li 2.40
Li 0.0000 0.5000 0.0000  2 Se 2.40
Li 0.5000 0.0000 0.0000  2 Se 2.40